# GGA-PBE CdGaCu, optimized geometry
data_CdGaCu
_cell_length_a 2.919
_cell_length_b 4.172
_cell_length_c 8.706
_cell_angle_alpha 90.00
_cell_angle_beta 98.64
_cell_angle_gamma 90.00
_symmetry_space_group_name_H-M 'P 1 21/m 1'
_symmetry_Int_Tables_number 11
loop_
_symmetry_equiv_pos_as_xyz
'x,y,z'
'-x,-y,-z'
'-x,y+1/2,-z'
'x,-y+1/2,z'
loop_
_atom_site_label
_atom_site_fract_x
_atom_site_fract_y
_atom_site_fract_z
Cd1 0.199 0.250 0.401
Ga1 0.069 0.750 0.147
Cu1 0.447 0.750 0.886
# **V**: 105 Å³/cell
# **ΔH_f (0 K)**: -0.015 eV/atom
# **E**: -8.1 eV/f.u.

=====

# GGA-PBE CdGa2Cu2, optimized geometry
data_CdGa2Cu2
_cell_length_a 3.728
_cell_length_b 3.728
_cell_length_c 12.062
_cell_angle_alpha 90.00
_cell_angle_beta 90.00
_cell_angle_gamma 90.00
_symmetry_space_group_name_H-M 'I 4/m m m'
_symmetry_Int_Tables_number 139
_symmetry_space_group_name_Hall '-I 4 2'
loop_
_atom_site_label
_atom_site_fract_x
_atom_site_fract_y
_atom_site_fract_z
Cd1 0.000 0.000 0.000
Ga1 0.000 0.500 0.250
Cu1 0.000 0.000 0.397
# **V**: 168 Å³/cell
# **ΔH_f (0 K)**: 0.060 eV/atom
# **E**: -14.9 eV/f.u.

=====

# GGA-PBE CdGa2Cu, optimized geometry
data_CdGa2Cu
_cell_length_a 7.671
_cell_length_b 7.671
_cell_length_c 5.310
_cell_angle_alpha 90.00
_cell_angle_beta 90.00
_cell_angle_gamma 90.00
_symmetry_space_group_name_H-M 'I -4 2 d'
_symmetry_Int_Tables_number 122
_symmetry_space_group_name_Hall 'I -4 2bw'
loop_
_atom_site_label
_atom_site_fract_x
_atom_site_fract_y
_atom_site_fract_z
Cd1 0.000 0.000 0.000
Ga1 0.194 0.250 0.625
Cu1 0.000 0.000 0.500
# **V**: 312 Å³/cell
# **ΔH_f (0 K)**: 0.133 eV/atom
# **E**: -10.5 eV/f.u.

=====

# GGA-PBE CdGa2Cu2, optimized geometry
data_CdGa2Cu2
_cell_length_a 3.804
_cell_length_b 3.804
_cell_length_c 11.841
_cell_angle_alpha 90.00
_cell_angle_beta 90.00
_cell_angle_gamma 90.00
_symmetry_space_group_name_H-M 'I 4/m m m'
_symmetry_Int_Tables_number 139
_symmetry_space_group_name_Hall '-I 4 2'
loop_
_atom_site_label
_atom_site_fract_x
_atom_site_fract_y
_atom_site_fract_z
Cd1 0.000 0.000 0.000
Ga1 0.000 0.000 0.391
Cu1 0.000 0.500 0.250
# **V**: 171 Å³/cell
# **ΔH_f (0 K)**: 0.101 eV/atom
# **E**: -14.7 eV/f.u.

=====

# GGA-PBE CdGaCu4, optimized geometry
data_CdGaCu4
_cell_length_a 3.653
_cell_length_b 17.037
_cell_length_c 5.676
_cell_angle_alpha 90.00
_cell_angle_beta 90.00
_cell_angle_gamma 90.00
_symmetry_space_group_name_H-M 'C m c m'
_symmetry_Int_Tables_number 63
_symmetry_space_group_name_Hall '-C 2c 2'
loop_
_atom_site_label
_atom_site_fract_x
_atom_site_fract_y
_atom_site_fract_z
Cd1 0.000 0.088 0.250
Ga1 0.000 0.233 0.750
Cu1 0.000 0.075 0.750
Cu2 0.000 0.345 0.032
Cu3 0.000 0.500 0.000
# **V**: 353 Å³/cell
# **ΔH_f (0 K)**: 0.035 eV/atom
# **E**: -20.1 eV/f.u.

=====

# GGA-PBE CdGaCu14, optimized geometry
data_CdGaCu14
_cell_length_a 8.551
_cell_length_b 5.307
_cell_length_c 8.974
_cell_angle_alpha 90.00
_cell_angle_beta 90.00
_cell_angle_gamma 90.00
_symmetry_space_group_name_H-M 'A m m 2'
_symmetry_Int_Tables_number 38
loop_
_symmetry_equiv_pos_as_xyz
'x,y,z'
'-x,-y,z'
'-x,y,z'
'x,-y,z'
'x,y+1/2,z+1/2'
'-x,-y+1/2,z+1/2'
'-x,y+1/2,z+1/2'
'x,-y+1/2,z+1/2'
loop_
_atom_site_label
_atom_site_fract_x
_atom_site_fract_y
_atom_site_fract_z
Cd1 0.000 0.000 0.000
Ga1 0.000 0.000 0.499
Cu1 0.000 0.247 0.749
Cu2 0.253 0.000 0.327
Cu3 0.261 0.000 0.826
Cu4 0.261 0.246 0.580
Cu5 0.500 0.000 0.160
Cu6 0.500 0.000 0.659
Cu7 0.500 0.247 0.409
# **V**: 407 Å³/cell
# **ΔH_f (0 K)**: 0.030 eV/atom
# **E**: -60.8 eV/f.u.

=====

# GGA-PBE Cd2Ga2Cu, optimized geometry
data_Cd2Ga2Cu
_cell_length_a 7.091
_cell_length_b 7.091
_cell_length_c 4.130
_cell_angle_alpha 90.00
_cell_angle_beta 90.00
_cell_angle_gamma 90.00
_symmetry_space_group_name_H-M 'P 4/m b m'
_symmetry_Int_Tables_number 127
_symmetry_space_group_name_Hall '-P 4 2ab'
loop_
_atom_site_label
_atom_site_fract_x
_atom_site_fract_y
_atom_site_fract_z
Cd1 0.156 0.344 0.000
Ga1 0.151 0.651 0.500
Cu1 0.000 0.000 0.000
# **V**: 208 Å³/cell
# **ΔH_f (0 K)**: 0.230 eV/atom
# **E**: -10.8 eV/f.u.

=====

# GGA-PBE CdGaCu, optimized geometry
data_CdGaCu
_cell_length_a 6.098
_cell_length_b 6.098
_cell_length_c 6.098
_cell_angle_alpha 90.00
_cell_angle_beta 90.00
_cell_angle_gamma 90.00
_symmetry_space_group_name_H-M 'F -4 3 m'
_symmetry_Int_Tables_number 216
_symmetry_space_group_name_Hall 'F -4 2 3'
loop_
_atom_site_label
_atom_site_fract_x
_atom_site_fract_y
_atom_site_fract_z
Cd1 0.000 0.000 0.000
Ga1 0.000 0.000 0.500
Cu1 0.250 0.250 0.750
# **V**: 227 Å³/cell
# **ΔH_f (0 K)**: 0.052 eV/atom
# **E**: -7.9 eV/f.u.

=====

# GGA-PBE CdGa3Cu, optimized geometry
data_CdGa3Cu
_cell_length_a 4.769
_cell_length_b 4.769
_cell_length_c 4.769
_cell_angle_alpha 90.00
_cell_angle_beta 90.00
_cell_angle_gamma 90.00
_symmetry_space_group_name_H-M 'P m -3 m'
_symmetry_Int_Tables_number 221
_symmetry_space_group_name_Hall '-P 4 2 3'
loop_
_atom_site_label
_atom_site_fract_x
_atom_site_fract_y
_atom_site_fract_z
Cd1 0.000 0.000 0.000
Ga1 0.000 0.500 0.500
Cu1 0.500 0.500 0.500
# **V**: 108 Å³/cell
# **ΔH_f (0 K)**: 0.149 eV/atom
# **E**: -13.3 eV/f.u.

=====

# GGA-PBE CdGa4Cu15, optimized geometry
data_CdGa4Cu15
_cell_length_a 3.806
_cell_length_b 3.806
_cell_length_c 17.867
_cell_angle_alpha 90.00
_cell_angle_beta 90.00
_cell_angle_gamma 90.00
_symmetry_space_group_name_H-M 'P 4/m m m'
_symmetry_Int_Tables_number 123
_symmetry_space_group_name_Hall '-P 4 2'
loop_
_atom_site_label
_atom_site_fract_x
_atom_site_fract_y
_atom_site_fract_z
Cd1 0.000 0.000 0.000
Ga1 0.000 0.000 0.205
Ga2 0.000 0.000 0.403
Cu1 0.000 0.500 0.108
Cu2 0.000 0.500 0.304
Cu3 0.000 0.500 0.500
Cu4 0.500 0.500 0.000
Cu5 0.500 0.500 0.207
Cu6 0.500 0.500 0.402
# **V**: 259 Å³/cell
# **ΔH_f (0 K)**: -0.070 eV/atom
# **E**: -75.9 eV/f.u.

=====

# GGA-PBE CdGa2Cu2, optimized geometry
data_CdGa2Cu2
_cell_length_a 7.591
_cell_length_b 7.591
_cell_length_c 2.804
_cell_angle_alpha 90.00
_cell_angle_beta 90.00
_cell_angle_gamma 90.00
_symmetry_space_group_name_H-M 'P 4/m b m'
_symmetry_Int_Tables_number 127
_symmetry_space_group_name_Hall '-P 4 2ab'
loop_
_atom_site_label
_atom_site_fract_x
_atom_site_fract_y
_atom_site_fract_z
Cd1 0.000 0.000 0.000
Ga1 0.175 0.325 0.500
Cu1 0.120 0.620 0.000
# **V**: 162 Å³/cell
# **ΔH_f (0 K)**: 0.031 eV/atom
# **E**: -15.0 eV/f.u.

=====

# GGA-PBE CdGaCu, optimized geometry
data_CdGaCu
_cell_length_a 3.0332
_cell_length_b 3.0332
_cell_length_c 6.5336
_cell_angle_alpha 90.00
_cell_angle_beta 90.00
_cell_angle_gamma 120.00
_symmetry_space_group_name_H-M 'P 3 m 1'
_symmetry_Int_Tables_number 156
loop_
_symmetry_equiv_pos_as_xyz
'x,y,z'
'-y,x-y,z'
'-x+y,-x,z'
'-y,-x,z'
'-x+y,y,z'
'x,x-y,z'
loop_
_atom_site_label
_atom_site_fract_x
_atom_site_fract_y
_atom_site_fract_z
Cd1 0.0000 0.0000 0.0000
Ga1 0.3333 0.6667 0.6211
Cu1 0.6667 0.3333 0.3338
# **V**: 52 Å³/cell
# **ΔH_f (0 K)**: 0.054 eV/atom
# **E**: -7.9 eV/f.u.

=====

# GGA-PBE CdGa2Cu8, optimized geometry
data_CdGa2Cu8
_cell_length_a 17.101
_cell_length_b 2.701
_cell_length_c 6.977
_cell_angle_alpha 90.00
_cell_angle_beta 110.95
_cell_angle_gamma 90.00
_symmetry_space_group_name_H-M 'C 1 2/m 1'
_symmetry_Int_Tables_number 12
loop_
_symmetry_equiv_pos_as_xyz
'x,y,z'
'-x,-y,-z'
'-x,y,-z'
'x,-y,z'
'x+1/2,y+1/2,z'
'-x+1/2,-y+1/2,-z'
'-x+1/2,y+1/2,-z'
'x+1/2,-y+1/2,z'
loop_
_atom_site_label
_atom_site_fract_x
_atom_site_fract_y
_atom_site_fract_z
Cd1 0.000 0.000 0.000
Ga1 0.171 0.500 0.296
Cu1 0.058 0.500 0.730
Cu2 0.074 0.000 0.437
Cu3 0.179 0.000 0.984
Cu4 0.197 0.500 0.687
# **V**: 301 Å³/cell
# **ΔH_f (0 K)**: 0.001 eV/atom
# **E**: -39.7 eV/f.u.

=====

# GGA-PBE CdGaCu4, optimized geometry
data_CdGaCu4
_cell_length_a 2.928
_cell_length_b 3.376
_cell_length_c 8.493
_cell_angle_alpha 90.00
_cell_angle_beta 90.00
_cell_angle_gamma 90.00
_symmetry_space_group_name_H-M 'P m m m'
_symmetry_Int_Tables_number 47
loop_
_symmetry_equiv_pos_as_xyz
'x,y,z'
'-x,-y,-z'
'-x,-y,z'
'x,y,-z'
'x,-y,-z'
'-x,y,z'
'-x,y,-z'
'x,-y,z'
loop_
_atom_site_label
_atom_site_fract_x
_atom_site_fract_y
_atom_site_fract_z
Cd1 0.000 0.000 0.000
Ga1 0.500 0.500 0.500
Cu1 0.000 0.000 0.340
Cu2 0.500 0.500 0.194
# **V**: 84 Å³/cell
# **ΔH_f (0 K)**: -0.009 eV/atom
# **E**: -20.4 eV/f.u.

=====

# GGA-PBE Cd2Ga2Cu, optimized geometry
data_Cd2Ga2Cu
_cell_length_a 6.606
_cell_length_b 6.606
_cell_length_c 4.437
_cell_angle_alpha 90.00
_cell_angle_beta 90.00
_cell_angle_gamma 90.00
_symmetry_space_group_name_H-M 'P 4/m b m'
_symmetry_Int_Tables_number 127
_symmetry_space_group_name_Hall '-P 4 2ab'
loop_
_atom_site_label
_atom_site_fract_x
_atom_site_fract_y
_atom_site_fract_z
Cd1 0.173 0.327 0.000
Ga1 0.143 0.643 0.500
Cu1 0.000 0.000 0.500
# **V**: 194 Å³/cell
# **ΔH_f (0 K)**: 0.099 eV/atom
# **E**: -11.5 eV/f.u.

=====

# GGA-PBE CdGa6Cu6, optimized geometry
data_CdGa6Cu6
_cell_length_a 5.186
_cell_length_b 8.430
_cell_length_c 8.895
_cell_angle_alpha 90.00
_cell_angle_beta 90.00
_cell_angle_gamma 90.00
_symmetry_space_group_name_H-M 'I m m m'
_symmetry_Int_Tables_number 71
_symmetry_space_group_name_Hall '-I 2 2'
loop_
_atom_site_label
_atom_site_fract_x
_atom_site_fract_y
_atom_site_fract_z
Cd1 0.000 0.000 0.000
Ga1 0.000 0.000 0.344
Ga2 0.000 0.347 0.000
Ga3 0.000 0.500 0.319
Cu1 0.000 0.255 0.500
Cu2 0.250 0.250 0.250
# **V**: 389 Å³/cell
# **ΔH_f (0 K)**: -0.068 eV/atom
# **E**: -44.5 eV/f.u.

=====

# GGA-PBE CdGaCu, optimized geometry
data_CdGaCu
_cell_length_a 3.042
_cell_length_b 3.042
_cell_length_c 11.281
_cell_angle_alpha 90.00
_cell_angle_beta 90.00
_cell_angle_gamma 90.00
_symmetry_space_group_name_H-M 'I 4 m m'
_symmetry_Int_Tables_number 107
_symmetry_space_group_name_Hall 'I 4 -2'
loop_
_atom_site_label
_atom_site_fract_x
_atom_site_fract_y
_atom_site_fract_z
Cd1 0.000 0.000 0.000
Ga1 0.000 0.000 0.295
Cu1 0.000 0.000 0.664
# **V**: 104 Å³/cell
# **ΔH_f (0 K)**: 0.049 eV/atom
# **E**: -7.9 eV/f.u.

=====

# GGA-PBE CdGa2Cu3, optimized geometry
data_CdGa2Cu3
_cell_length_a 10.381
_cell_length_b 7.188
_cell_length_c 5.261
_cell_angle_alpha 90.00
_cell_angle_beta 90.00
_cell_angle_gamma 90.00
_symmetry_space_group_name_H-M 'C m c m'
_symmetry_Int_Tables_number 63
_symmetry_space_group_name_Hall '-C 2c 2'
loop_
_atom_site_label
_atom_site_fract_x
_atom_site_fract_y
_atom_site_fract_z
Cd1 0.000 0.114 0.250
Ga1 0.133 0.500 0.000
Cu1 0.000 0.263 0.750
Cu2 0.242 0.237 0.750
# **V**: 393 Å³/cell
# **ΔH_f (0 K)**: 0.055 eV/atom
# **E**: -18.9 eV/f.u.

=====

# GGA-PBE CdGa2Cu, optimized geometry
data_CdGa2Cu
_cell_length_a 3.0276
_cell_length_b 3.0276
_cell_length_c 28.0621
_cell_angle_alpha 90.00
_cell_angle_beta 90.00
_cell_angle_gamma 120.00
_symmetry_space_group_name_H-M 'R -3 m'
_symmetry_Int_Tables_number 166
_symmetry_space_group_name_Hall '-R 3 2"'
loop_
_atom_site_label
_atom_site_fract_x
_atom_site_fract_y
_atom_site_fract_z
Cd1 0.0000 0.0000 0.0000
Ga1 0.0000 0.0000 0.0985
Cu1 0.0000 0.0000 0.5000
# **V**: 223 Å³/cell
# **ΔH_f (0 K)**: 0.065 eV/atom
# **E**: -10.8 eV/f.u.

=====

# GGA-PBE CdGaCu, optimized geometry
data_CdGaCu
_cell_length_a 3.224
_cell_length_b 3.224
_cell_length_c 10.107
_cell_angle_alpha 90.00
_cell_angle_beta 90.00
_cell_angle_gamma 90.00
_symmetry_space_group_name_H-M 'P 4/n m m'
_symmetry_Int_Tables_number 129
loop_
_symmetry_equiv_pos_as_xyz
'x,y,z'
'-x,-y,-z'
'-y+1/2,x,z'
'y+1/2,-x,-z'
'-x+1/2,-y+1/2,z'
'x+1/2,y+1/2,-z'
'y,-x+1/2,z'
'-y,x+1/2,-z'
'x+1/2,-y,-z'
'-x+1/2,y,z'
'-y,-x,-z'
'y,x,z'
'-x,y+1/2,-z'
'x,-y+1/2,z'
'y+1/2,x+1/2,-z'
'-y+1/2,-x+1/2,z'
loop_
_atom_site_label
_atom_site_fract_x
_atom_site_fract_y
_atom_site_fract_z
Cd1 0.250 0.250 0.108
Ga1 0.250 0.250 0.692
Cu1 0.250 0.250 0.438
# **V**: 105 Å³/cell
# **ΔH_f (0 K)**: 0.057 eV/atom
# **E**: -7.9 eV/f.u.

=====

# GGA-PBE Cd3GaCu, optimized geometry
data_Cd3GaCu
_cell_length_a 5.150
_cell_length_b 5.150
_cell_length_c 5.150
_cell_angle_alpha 90.00
_cell_angle_beta 90.00
_cell_angle_gamma 90.00
_symmetry_space_group_name_H-M 'P m -3 m'
_symmetry_Int_Tables_number 221
_symmetry_space_group_name_Hall '-P 4 2 3'
loop_
_atom_site_label
_atom_site_fract_x
_atom_site_fract_y
_atom_site_fract_z
Cd1 0.000 0.000 0.500
Ga1 0.000 0.000 0.000
Cu1 0.500 0.500 0.500
# **V**: 137 Å³/cell
# **ΔH_f (0 K)**: 0.569 eV/atom
# **E**: -7.0 eV/f.u.

=====

# GGA-PBE CdGa2Cu, optimized geometry
data_CdGa2Cu
_cell_length_a 4.2181
_cell_length_b 4.2181
_cell_length_c 14.5620
_cell_angle_alpha 90.00
_cell_angle_beta 90.00
_cell_angle_gamma 120.00
_symmetry_space_group_name_H-M 'R 3 m'
_symmetry_Int_Tables_number 160
_symmetry_space_group_name_Hall 'R 3 -2"'
loop_
_atom_site_label
_atom_site_fract_x
_atom_site_fract_y
_atom_site_fract_z
Cd1 0.0000 0.0000 0.0000
Ga1 0.0000 0.0000 0.5617
Ga2 0.0000 0.0000 0.7835
Cu1 0.0000 0.0000 0.1868
# **V**: 224 Å³/cell
# **ΔH_f (0 K)**: 0.026 eV/atom
# **E**: -11.0 eV/f.u.

=====

# GGA-PBE CdGaCu, optimized geometry
data_CdGaCu
_cell_length_a 3.133
_cell_length_b 4.430
_cell_length_c 8.488
_cell_angle_alpha 90.91
_cell_angle_beta 93.44
_cell_angle_gamma 110.35
_symmetry_space_group_name_H-M 'P -1'
_symmetry_Int_Tables_number 2
loop_
_symmetry_equiv_pos_as_xyz
'x,y,z'
'-x,-y,-z'
loop_
_atom_site_label
_atom_site_fract_x
_atom_site_fract_y
_atom_site_fract_z
Cd1 0.144 0.292 0.388
Ga1 0.456 0.856 0.173
Cu1 0.155 0.291 0.064
# **V**: 110 Å³/cell
# **ΔH_f (0 K)**: 0.019 eV/atom
# **E**: -8.0 eV/f.u.

=====

# GGA-PBE CdGa2Cu2, optimized geometry
data_CdGa2Cu2
_cell_length_a 7.723
_cell_length_b 7.723
_cell_length_c 2.719
_cell_angle_alpha 90.00
_cell_angle_beta 90.00
_cell_angle_gamma 90.00
_symmetry_space_group_name_H-M 'P 4/m b m'
_symmetry_Int_Tables_number 127
_symmetry_space_group_name_Hall '-P 4 2ab'
loop_
_atom_site_label
_atom_site_fract_x
_atom_site_fract_y
_atom_site_fract_z
Cd1 0.000 0.000 0.000
Ga1 0.125 0.375 0.000
Cu1 0.175 0.675 0.500
# **V**: 162 Å³/cell
# **ΔH_f (0 K)**: 0.034 eV/atom
# **E**: -15.0 eV/f.u.

=====

# GGA-PBE CdGa2Cu, optimized geometry
data_CdGa2Cu
_cell_length_a 3.256
_cell_length_b 3.256
_cell_length_c 6.835
_cell_angle_alpha 90.00
_cell_angle_beta 90.00
_cell_angle_gamma 90.00
_symmetry_space_group_name_H-M 'P 4/m m m'
_symmetry_Int_Tables_number 123
_symmetry_space_group_name_Hall '-P 4 2'
loop_
_atom_site_label
_atom_site_fract_x
_atom_site_fract_y
_atom_site_fract_z
Cd1 0.000 0.000 0.000
Ga1 0.500 0.500 0.296
Cu1 0.000 0.000 0.500
# **V**: 72 Å³/cell
# **ΔH_f (0 K)**: 0.075 eV/atom
# **E**: -10.8 eV/f.u.